Entry 1:
First-principles (PBEsol) data for a geometry-optimized La3AgHg structure, as listed in Alexandria via LeMat-Bulk.

a b c (Å): 5.6869 5.6869 5.6869
angles (deg): 90.00 90.00 90.00
Space group Pm-3m (No. 221)
Symmetry-distinct sites (fractional):
La 0.0000 0.0000 0.5000 [3 per cell]
Ag 0.0000 0.0000 0.0000 [1 per cell]
Hg 0.5000 0.5000 0.5000 [1 per cell]

Output
* excess energy over the best structure of this formula in the dataset: 0 meV per atom
* DFT total energy: -3.69 eV/atom
* formation energy: 0.29 eV per atom

---

Entry 2:
First-principles (PBEsol) data for a geometry-optimized NbZnBi3 structure, as listed in Alexandria via LeMat-Bulk.

a b c (Å): 5.4319 5.4319 5.4319
angles (deg): 90.00 90.00 90.00
Space group Pm-3m (No. 221)
Symmetry-distinct sites (fractional):
Nb 0.0000 0.0000 0.0000 [1 per cell]
Zn 0.5000 0.5000 0.5000 [1 per cell]
Bi 0.0000 0.0000 0.5000 [3 per cell]

Output
* DFT total energy: -4.49 eV/atom
* formation energy: 0.56 eV per atom

---

Entry 3:
First-principles (PBEsol) data for a geometry-optimized LiCuAu structure, as listed in Alexandria via LeMat-Bulk.

a b c (Å): 2.7439 2.7439 6.5099
angles (deg): 90.00 90.00 120.00
Space group P3m1 (No. 156)
Symmetry-distinct sites (fractional):
Li 0.0000 0.0000 0.0000 [1 per cell]
Cu 0.6667 0.3333 0.3194 [1 per cell]
Au 0.3333 0.6667 0.6645 [1 per cell]

Output
* excess energy over the best structure of this formula in the dataset: 154 meV per atom
* DFT total energy: -3.50 eV/atom
* formation energy: -0.09 eV per atom